[1]
VASP calculation (GGA-PBEsol) on an optimized crystal structure of NaV4Cu3O12.

Cell and atoms, written as POSCAR:
```
NaV4Cu3O12
1.0
-3.595 3.595 3.595
3.595 -3.595 3.595
3.595 3.595 -3.595
Na V Cu O
1 4 3 12
direct
0.000 0.000 0.000
0.000 0.000 0.500
0.000 0.500 0.000
0.500 0.000 0.000
0.500 0.500 0.500
0.000 0.500 0.500
0.500 0.000 0.500
0.500 0.500 0.000
0.118 0.303 0.815
0.185 0.488 0.303
0.185 0.882 0.697
0.303 0.185 0.488
0.303 0.815 0.118
0.488 0.303 0.185
0.512 0.697 0.815
0.697 0.185 0.882
0.697 0.815 0.512
0.815 0.118 0.303
0.815 0.512 0.697
0.882 0.697 0.185
```

The calculation puts the uncorrected formation energy at -178.61 kJ/mol of atoms. Its symmetry is No. 204.



[2]
VASP calculation (GGA-PBEsol) on an optimized crystal structure of Zn12Au17.

Cell and atoms, written as POSCAR:
```
Zn12Au17
1.0
-4.841 4.841 4.841
4.841 -4.841 4.841
4.841 4.841 -4.841
Zn Au
12 17
direct
0.000 0.622 0.809
0.000 0.809 0.622
0.187 0.378 0.378
0.191 0.191 0.813
0.191 0.813 0.191
0.378 0.187 0.378
0.378 0.378 0.187
0.622 0.000 0.809
0.622 0.809 0.000
0.809 0.000 0.622
0.809 0.622 0.000
0.813 0.191 0.191
0.000 0.000 0.000
0.000 0.000 0.327
0.000 0.308 0.591
0.000 0.327 0.000
0.000 0.591 0.308
0.282 0.692 0.692
0.308 0.000 0.591
0.308 0.591 0.000
0.327 0.000 0.000
0.409 0.409 0.718
0.409 0.718 0.409
0.591 0.000 0.308
0.591 0.308 0.000
0.673 0.673 0.673
0.692 0.282 0.692
0.692 0.692 0.282
0.718 0.409 0.409
```

The formation energy is -392 kJ/mol of formula units. Its symmetry is No. 217.



[3]
VASP calculation (GGA-PBEsol) on an optimized crystal structure of Zr2TaIr.

Cell and atoms, written as POSCAR:
```
Zr2TaIr
1.0
3.238 0.000 0.000
0.000 3.238 0.000
0.000 0.000 7.106
Zr Ta Ir
2 1 1
direct
0.000 0.000 0.000
0.500 0.500 0.285
0.500 0.500 0.732
0.000 0.000 0.525
```

The formation energy is -124 kJ/mol of formula units. Its symmetry is No. 99.



[4]
VASP calculation (GGA-PBEsol) on an optimized crystal structure of K2TeRh.

Cell and atoms, written as POSCAR:
```
K2TeRh
1.0
-2.121 2.121 5.217
2.121 -2.121 5.217
2.121 2.121 -5.217
K Te Rh
2 1 1
direct
0.250 0.750 0.500
0.750 0.250 0.500
0.000 0.000 0.000
0.500 0.500 0.000
```

The calculation puts the uncorrected formation energy at 4.03 kJ/mol of atoms. Its symmetry is No. 139.



[5]
VASP calculation (GGA-PBEsol) on an optimized crystal structure of GaAsO2.

Cell and atoms, written as POSCAR:
```
GaAsO2
1.0
1.560 0.901 6.495
-1.560 0.901 6.495
0.000 -1.802 6.495
Ga As O
1 1 2
direct
0.000 0.000 0.000
0.500 0.500 0.500
0.106 0.106 0.106
0.894 0.894 0.894
```

The calculation puts the uncorrected formation energy at -67.18 kJ/mol of atoms. Its symmetry is No. 166.



[6]
VASP calculation (GGA-PBEsol) on an optimized crystal structure of RhPb2F7.

Cell and atoms, written as POSCAR:
```
RhPb2F7
1.0
5.556 0.000 0.000
0.000 11.829 0.000
-0.087 0.000 8.741
Rh Pb F
4 8 28
direct
0.195 0.132 0.317
0.195 0.368 0.817
0.805 0.632 0.183
0.805 0.868 0.683
0.267 0.055 0.848
0.267 0.445 0.348
0.283 0.706 0.952
0.283 0.794 0.452
0.717 0.206 0.548
0.717 0.294 0.048
0.733 0.555 0.652
0.733 0.945 0.152
0.011 0.731 0.686
0.011 0.769 0.186
0.084 0.099 0.105
0.084 0.401 0.605
0.101 0.552 0.128
0.101 0.948 0.628
0.287 0.165 0.532
0.287 0.335 0.032
0.384 0.510 0.819
0.384 0.990 0.319
0.393 0.605 0.493
0.393 0.895 0.993
0.493 0.223 0.280
0.493 0.277 0.780
0.507 0.723 0.220
0.507 0.777 0.720
0.607 0.105 0.007
0.607 0.395 0.507
0.616 0.010 0.681
0.616 0.490 0.181
0.713 0.665 0.968
0.713 0.835 0.468
0.899 0.052 0.372
0.899 0.448 0.872
0.916 0.599 0.395
0.916 0.901 0.895
0.989 0.231 0.814
0.989 0.269 0.314
```

The calculation puts the uncorrected formation energy at -197.83 kJ/mol of atoms. Its symmetry is No. 14.



[7]
VASP calculation (GGA-PBEsol) on an optimized crystal structure of CoPH3O5.

Cell and atoms, written as POSCAR:
```
CoPH3O5
1.0
7.853 4.534 2.521
-7.853 4.534 2.521
0.000 -9.068 2.521
Co P H O
6 6 18 30
direct
0.090 0.557 0.806
0.194 0.910 0.443
0.443 0.194 0.910
0.557 0.806 0.090
0.806 0.090 0.557
0.910 0.443 0.194
0.252 0.331 0.685
0.315 0.748 0.669
0.331 0.685 0.252
0.669 0.315 0.748
0.685 0.252 0.331
0.748 0.669 0.315
0.056 0.113 0.854
0.096 0.326 0.156
0.113 0.854 0.056
0.146 0.944 0.887
0.156 0.096 0.326
0.165 0.388 0.469
0.326 0.156 0.096
0.388 0.469 0.165
0.469 0.165 0.388
0.531 0.835 0.612
0.612 0.531 0.835
0.674 0.844 0.904
0.835 0.612 0.531
0.844 0.904 0.674
0.854 0.056 0.113
0.887 0.146 0.944
0.904 0.674 0.844
0.944 0.887 0.146
0.051 0.767 0.910
0.090 0.949 0.233
0.099 0.331 0.708
0.139 0.533 0.463
0.157 0.663 0.245
0.189 0.291 0.481
0.233 0.090 0.949
0.245 0.157 0.663
0.291 0.481 0.189
0.292 0.901 0.669
0.331 0.708 0.099
0.337 0.755 0.843
0.463 0.139 0.533
0.467 0.537 0.861
0.481 0.189 0.291
0.519 0.811 0.709
0.533 0.463 0.139
0.537 0.861 0.467
0.663 0.245 0.157
0.669 0.292 0.901
0.708 0.099 0.331
0.709 0.519 0.811
0.755 0.843 0.337
0.767 0.910 0.051
0.811 0.709 0.519
0.843 0.337 0.755
0.861 0.467 0.537
0.901 0.669 0.292
0.910 0.051 0.767
0.949 0.233 0.090
```

Its total energy is -6.36 eV/atom. Its symmetry is No. 148.



[8]
VASP calculation (GGA-PBEsol) on an optimized crystal structure of BaCdSe.

Cell and atoms, written as POSCAR:
```
BaCdSe
1.0
0.000 3.797 3.797
3.797 0.000 3.797
3.797 3.797 0.000
Ba Cd Se
1 1 1
direct
0.000 0.000 0.000
0.500 0.500 0.500
0.250 0.250 0.250
```

The calculation puts the uncorrected formation energy at -78.73 kJ/mol of atoms. Its symmetry is No. 216.



[9]
VASP calculation (GGA-PBEsol) on an optimized crystal structure of LiCr2As.

Cell and atoms, written as POSCAR:
```
LiCr2As
1.0
2.604 0.000 0.000
0.000 4.156 0.000
-0.553 0.000 4.545
Li Cr As
1 2 1
direct
0.000 0.000 0.000
0.326 0.500 0.773
0.674 0.500 0.227
0.500 0.000 0.500
```

The formation energy is 93 kJ/mol of formula units. Its symmetry is No. 10.



[10]
VASP calculation (GGA-PBEsol) on an optimized crystal structure of NiAsPbBr2.

Cell and atoms, written as POSCAR:
```
NiAsPbBr2
1.0
4.864 0.000 0.000
0.000 4.864 0.000
0.000 0.000 4.724
Ni As Pb Br
1 1 1 2
direct
0.000 0.000 0.000
0.000 0.000 0.500
0.500 0.500 0.500
0.000 0.500 0.000
0.500 0.000 0.000
```

The calculation puts the uncorrected formation energy at -1.71 kJ/mol of atoms. Its symmetry is No. 123.



[11]
VASP calculation (GGA-PBEsol) on an optimized crystal structure of Sr2PrSbO6.

Cell and atoms, written as POSCAR:
```
Sr2PrSbO6
1.0
0.000 4.256 4.256
4.256 0.000 4.256
4.256 4.256 0.000
Sr Pr Sb O
2 1 1 6
direct
0.250 0.250 0.250
0.750 0.750 0.750
0.000 0.000 0.000
0.500 0.500 0.500
0.268 0.268 0.732
0.268 0.732 0.268
0.268 0.732 0.732
0.732 0.268 0.268
0.732 0.268 0.732
0.732 0.732 0.268
```

The calculation puts the uncorrected formation energy at -244.74 kJ/mol of atoms. Its symmetry is No. 225.



[12]
VASP calculation (GGA-PBEsol) on an optimized crystal structure of TaNi2W.

Cell and atoms, written as POSCAR:
```
TaNi2W
1.0
3.788 0.000 0.000
0.000 3.788 0.000
0.000 0.000 3.727
Ta Ni W
1 2 1
direct
0.000 0.000 0.000
0.000 0.500 0.500
0.500 0.000 0.500
0.500 0.500 0.000
```

The formation energy is -32 kJ/mol of formula units. Its symmetry is No. 123.



[13]
VASP calculation (GGA-PBEsol) on an optimized crystal structure of MgSeS2Cl.

Cell and atoms, written as POSCAR:
```
MgSeS2Cl
1.0
4.837 0.000 0.000
0.000 4.837 0.000
0.000 0.000 4.472
Mg Se S Cl
1 1 2 1
direct
0.000 0.000 0.000
0.500 0.500 0.500
0.000 0.500 0.000
0.500 0.000 0.000
0.000 0.000 0.500
```

The calculation puts the uncorrected formation energy at 9.35 kJ/mol of atoms. Its symmetry is No. 123.



[14]
VASP calculation (GGA-PBEsol) on an optimized crystal structure of Tl2Ga2Sn.

Cell and atoms, written as POSCAR:
```
Tl2Ga2Sn
1.0
7.196 0.000 0.000
0.000 7.196 0.000
0.000 0.000 4.739
Tl Ga Sn
4 4 2
direct
0.178 0.322 0.000
0.322 0.822 0.000
0.678 0.178 0.000
0.822 0.678 0.000
0.127 0.627 0.500
0.373 0.127 0.500
0.627 0.873 0.500
0.873 0.373 0.500
0.000 0.000 0.500
0.500 0.500 0.500
```

The formation energy is 27 kJ/mol of formula units. Its symmetry is No. 127.



[15]
VASP calculation (GGA-PBEsol) on an optimized crystal structure of LiMg16Al12.

Cell and atoms, written as POSCAR:
```
LiMg16Al12
1.0
7.368 4.254 3.011
-7.368 4.254 3.011
0.000 -8.508 3.011
Li Mg Al
1 16 12
direct
0.000 0.000 0.000
0.070 0.354 0.670
0.070 0.670 0.354
0.266 0.266 0.957
0.266 0.957 0.266
0.325 0.670 0.670
0.354 0.070 0.670
0.354 0.670 0.070
0.386 0.986 0.986
0.670 0.070 0.354
0.670 0.325 0.670
0.670 0.354 0.070
0.670 0.670 0.325
0.673 0.673 0.673
0.957 0.266 0.266
0.986 0.386 0.986
0.986 0.986 0.386
0.037 0.670 0.855
0.037 0.855 0.670
0.305 0.305 0.491
0.305 0.491 0.305
0.483 0.483 0.854
0.483 0.854 0.483
0.491 0.305 0.305
0.670 0.037 0.855
0.670 0.855 0.037
0.854 0.483 0.483
0.855 0.037 0.670
0.855 0.670 0.037
```

The formation energy is -68 kJ/mol of formula units. Its symmetry is No. 160.



[16]
VASP calculation (GGA-PBEsol) on an optimized crystal structure of Ag2Br.

Cell and atoms, written as POSCAR:
```
Ag2Br
1.0
6.023 -1.712 0.000
6.023 1.712 0.000
-4.202 0.000 6.560
Ag Br
4 2
direct
0.145 0.145 0.374
0.253 0.253 0.787
0.747 0.747 0.213
0.855 0.855 0.626
0.425 0.425 0.195
0.575 0.575 0.805
```

The calculation puts the uncorrected formation energy at 1.77 kJ/mol of atoms. Its symmetry is No. 12.



[17]
VASP calculation (GGA-PBEsol) on an optimized crystal structure of Y2TcBr.

Cell and atoms, written as POSCAR:
```
Y2TcBr
1.0
3.389 0.000 0.000
0.000 3.389 0.000
0.000 0.000 8.049
Y Tc Br
2 1 1
direct
0.000 0.000 0.000
0.500 0.500 0.369
0.500 0.500 0.803
0.000 0.000 0.582
```

The calculation puts the uncorrected formation energy at 16.77 kJ/mol of atoms. Its symmetry is No. 99.



[18]
VASP calculation (GGA-PBEsol) on an optimized crystal structure of Zn3AsIr.

Cell and atoms, written as POSCAR:
```
Zn3AsIr
1.0
4.690 0.000 0.000
0.000 4.690 0.000
0.000 0.000 4.690
Zn As Ir
3 1 1
direct
0.000 0.000 0.500
0.000 0.500 0.000
0.500 0.000 0.000
0.500 0.500 0.500
0.000 0.000 0.000
```

The formation energy is 299 kJ/mol of formula units. Its symmetry is No. 221.



[19]
VASP calculation (GGA-PBEsol) on an optimized crystal structure of SrTa2Hg.

Cell and atoms, written as POSCAR:
```
SrTa2Hg
1.0
1.659 0.958 9.709
-1.659 0.958 9.709
0.000 -1.916 9.709
Sr Ta Hg
1 2 1
direct
0.000 0.000 0.000
0.234 0.234 0.234
0.504 0.504 0.504
0.759 0.759 0.759
```

The formation energy is 195 kJ/mol of formula units. Its symmetry is No. 160.



[20]
VASP calculation (GGA-PBEsol) on an optimized crystal structure of Ba2ScSe.

Cell and atoms, written as POSCAR:
```
Ba2ScSe
1.0
6.375 -1.902 0.000
6.375 1.902 0.000
-2.232 0.000 5.482
Ba Sc Se
2 1 1
direct
0.000 0.000 0.000
0.188 0.188 0.644
0.394 0.394 0.396
0.744 0.744 0.155
```

The calculation puts the uncorrected formation energy at -62.20 kJ/mol of atoms. Its symmetry is No. 8.



The evaluated volume for the records listed, in turn: 185.9, 453.9, 74.5, 93.9, 54.8, 574.5, 538.7, 109.5, 49.2, 111.8, 154.2, 53.5, 104.6, 245.4, 566.3, 135.3, 92.5, 103.2, 92.6, 132.9 Å³/cell.